Density functional theory data (GGA-PBE) for a relaxed structure of SrEr2RuN4.

Cell lengths 6.169, 6.169, 11.717 Å; angles 90.00, 90.00, 147.50 degrees
Fractional coordinates of all 16 atoms:
Sr 0.109 0.891 0.750
Sr 0.891 0.109 0.250
Er 0.369 0.631 0.537
Er 0.369 0.631 0.963
Er 0.631 0.369 0.037
Er 0.631 0.369 0.463
Ru 0.157 0.843 0.250
Ru 0.843 0.157 0.750
N 0.000 0.000 0.000
N 0.000 0.000 0.500
N 0.257 0.743 0.118
N 0.257 0.743 0.382
N 0.421 0.579 0.750
N 0.579 0.421 0.250
N 0.743 0.257 0.618
N 0.743 0.257 0.882

## Properties
The calculated volume is 14.98 A^3/atom. As for the space group: Cmcm (63). Its total energy is -7.60 eV per atom. Its formation energy from raw total energies is -928.2 meV per atom. Its theoretical density is 8.03 g/cm3.